1.
This record from Alexandria via LeMat-Bulk describes a relaxed CsTl12Au4 crystal. The functional is PBE-GGA.

a = 8.9400 Å, b = 8.9400 Å, c = 8.9400 Å
α = 109.47°, β = 109.47°, γ = 109.47°
Fractional coordinates of all 17 atoms:
Tl (0.8400, 0.6527, 0.4926)
Tl (0.1873, 0.8400, 0.3473)
Tl (0.3473, 0.1873, 0.8400)
Tl (0.3473, 0.5074, 0.1600)
Tl (0.6527, 0.8127, 0.1600)
Tl (0.1600, 0.3473, 0.5074)
Tl (0.4926, 0.8400, 0.6527)
Tl (0.8400, 0.3473, 0.1873)
Tl (0.6527, 0.4926, 0.8400)
Tl (0.5074, 0.1600, 0.3473)
Tl (0.1600, 0.6527, 0.8127)
Tl (0.8127, 0.1600, 0.6527)
Au (0.0000, 0.5000, 0.0000)
Au (0.0000, 0.0000, 0.5000)
Au (0.5000, 0.0000, 0.0000)
Au (0.5000, 0.5000, 0.5000)
Cs (0.0000, 0.0000, 0.0000)

* ρ: 10.2 g/cm3
* DFT formation energy: 0.004 eV/atom

2.
This record from Alexandria via LeMat-Bulk describes a relaxed Cs3Tl2Au crystal. The functional is PBE-GGA.

a = 5.9328 Å, b = 11.9326 Å, c = 11.9326 Å
α = 120.65°, β = 90.00°, γ = 90.00°
Fractional coordinates of all 12 atoms:
Au (0.7500, 0.2723, 0.7277)
Au (0.2500, 0.7277, 0.2723)
Cs (0.2500, 0.1632, 0.4611)
Cs (0.2500, 0.5389, 0.8368)
Cs (0.7500, 0.8386, 0.1614)
Cs (0.7500, 0.4611, 0.1632)
Cs (0.2500, 0.1614, 0.8386)
Cs (0.7500, 0.8368, 0.5389)
Tl (0.5000, 0.1370, 0.1370)
Tl (0.0000, 0.8630, 0.8630)
Tl (0.5000, 0.8630, 0.8630)
Tl (0.0000, 0.1370, 0.1370)

* ρ: 4.6 g/cm3
* DFT formation energy: -0.073 eV/atom

3.
This record from Alexandria via LeMat-Bulk describes a relaxed Cs5Tl2Au crystal. The functional is PBE-GGA.

a = 4.9621 Å, b = 9.1207 Å, c = 24.4042 Å
α = 90.00°, β = 90.00°, γ = 105.78°
Fractional coordinates of all 16 atoms:
Cs (0.5638, 0.1275, 0.7500)
Cs (0.3563, 0.7126, 0.0631)
Cs (0.6437, 0.2874, 0.9369)
Cs (0.4362, 0.8725, 0.2500)
Cs (0.8883, 0.7766, 0.6334)
Cs (0.8883, 0.7766, 0.8666)
Cs (0.6437, 0.2874, 0.5631)
Cs (0.1117, 0.2234, 0.1334)
Cs (0.3563, 0.7126, 0.4369)
Cs (0.1117, 0.2234, 0.3666)
Tl (0.7721, 0.5442, 0.3172)
Tl (0.7721, 0.5442, 0.1828)
Tl (0.2279, 0.4558, 0.6828)
Tl (0.2279, 0.4558, 0.8172)
Au (0.7594, 0.5188, 0.7500)
Au (0.2406, 0.4812, 0.2500)

* ρ: 4.0 g/cm3
* DFT formation energy: -0.092 eV/atom

4.
This record from Alexandria via LeMat-Bulk describes a relaxed Cs2Tl6Au crystal. The functional is PBE-GGA.

a = 7.3976 Å, b = 6.7505 Å, c = 7.8852 Å
α = 86.35°, β = 90.00°, γ = 123.23°
Fractional coordinates of all 9 atoms:
Tl (0.1599, 0.7684, 0.3722)
Tl (0.8778, 0.7556, 0.6895)
Tl (0.1222, 0.2444, 0.3105)
Tl (0.6085, 0.7684, 0.3722)
Tl (0.8401, 0.2316, 0.6278)
Tl (0.3915, 0.2316, 0.6278)
Au (0.0000, 0.0000, 0.0000)
Cs (0.6613, 0.3226, 0.1027)
Cs (0.3387, 0.6774, 0.8973)

* ρ: 8.5 g/cm3
* DFT formation energy: -0.079 eV/atom

5.
This record from Alexandria via LeMat-Bulk describes a relaxed Cs12Tl3Au5 crystal. The functional is PBE-GGA.

a = 19.2241 Å, b = 19.2241 Å, c = 19.2241 Å
α = 109.47°, β = 109.47°, γ = 109.47°
Fractional coordinates of all 80 atoms:
Cs (0.0406, 0.6281, 0.7149)
Cs (0.2149, 0.5406, 0.6281)
Cs (0.9132, 0.8257, 0.7851)
Cs (0.4125, 0.0406, 0.3257)
Cs (0.8257, 0.9132, 0.2851)
Cs (0.4594, 0.6743, 0.0875)
Cs (0.2149, 0.6743, 0.0868)
Cs (0.0868, 0.1743, 0.2149)
Cs (0.9594, 0.5875, 0.1743)
Cs (0.1281, 0.4132, 0.0875)
Cs (0.9125, 0.8257, 0.5406)
Cs (0.6281, 0.5875, 0.9132)
Cs (0.1743, 0.0875, 0.9594)
Cs (0.7149, 0.5868, 0.1743)
Cs (0.5406, 0.3257, 0.9125)
Cs (0.4132, 0.2851, 0.3257)
Cs (0.5875, 0.9594, 0.6743)
Cs (0.9125, 0.0868, 0.8719)
Cs (0.4132, 0.1281, 0.5875)
Cs (0.4594, 0.7851, 0.8719)
Cs (0.0875, 0.1743, 0.4594)
Cs (0.4125, 0.3719, 0.5868)
Cs (0.7851, 0.3257, 0.9132)
Cs (0.3257, 0.7851, 0.4132)
Cs (0.3257, 0.5406, 0.4125)
Cs (0.8719, 0.2851, 0.4594)
Cs (0.5868, 0.8719, 0.4125)
Cs (0.8719, 0.5868, 0.9125)
Cs (0.9594, 0.3719, 0.2851)
Cs (0.6743, 0.2149, 0.5868)
Cs (0.2851, 0.8719, 0.9594)
Cs (0.8257, 0.9125, 0.0406)
Cs (0.6281, 0.0406, 0.2149)
Cs (0.0406, 0.4125, 0.8257)
Cs (0.0868, 0.9125, 0.3719)
Cs (0.7851, 0.4594, 0.3719)
Cs (0.5868, 0.7149, 0.6743)
Cs (0.3719, 0.9594, 0.7851)
Cs (0.6743, 0.4594, 0.5875)
Cs (0.1743, 0.0868, 0.7149)
Cs (0.2851, 0.4132, 0.8257)
Cs (0.1281, 0.7149, 0.5406)
Cs (0.7149, 0.1281, 0.0406)
Cs (0.5875, 0.6281, 0.4132)
Cs (0.3719, 0.4125, 0.0868)
Cs (0.5406, 0.2149, 0.1281)
Cs (0.0875, 0.9132, 0.1281)
Cs (0.9132, 0.0875, 0.6281)
Au (0.5000, 0.0000, 0.0000)
Au (0.1250, 0.7500, 0.3750)
Au (0.6250, 0.7500, 0.8750)
Au (0.1250, 0.3750, 0.2500)
Au (0.0000, 0.0000, 0.0000)
Au (0.5000, 0.0000, 0.5000)
Au (0.0000, 0.5000, 0.0000)
Au (0.5000, 0.5000, 0.5000)
Au (0.8750, 0.6250, 0.7500)
Au (0.0000, 0.0000, 0.5000)
Au (0.7500, 0.6250, 0.3750)
Au (0.2500, 0.8750, 0.1250)
Au (0.6250, 0.8750, 0.2500)
Au (0.3750, 0.1250, 0.7500)
Au (0.5000, 0.5000, 0.0000)
Au (0.2500, 0.3750, 0.6250)
Au (0.8750, 0.2500, 0.6250)
Au (0.3750, 0.2500, 0.1250)
Au (0.7500, 0.1250, 0.8750)
Au (0.0000, 0.5000, 0.5000)
Tl (0.1250, 0.2500, 0.8750)
Tl (0.6250, 0.3750, 0.7500)
Tl (0.3750, 0.6250, 0.2500)
Tl (0.6250, 0.2500, 0.3750)
Tl (0.1250, 0.8750, 0.7500)
Tl (0.7500, 0.8750, 0.6250)
Tl (0.2500, 0.1250, 0.3750)
Tl (0.8750, 0.7500, 0.1250)
Tl (0.3750, 0.7500, 0.6250)
Tl (0.7500, 0.3750, 0.1250)
Tl (0.8750, 0.1250, 0.2500)
Tl (0.2500, 0.6250, 0.8750)

* ρ: 3.9 g/cm3
* DFT formation energy: -0.082 eV/atom

6.
This record from Alexandria via LeMat-Bulk describes a relaxed CsTlAu3 crystal. The functional is PBE-GGA.

a = 5.8613 Å, b = 5.5587 Å, c = 9.7387 Å
α = 106.58°, β = 90.00°, γ = 90.00°
Fractional coordinates of all 10 atoms:
Cs (0.2500, 0.8006, 0.6013)
Cs (0.7500, 0.1994, 0.3987)
Tl (0.2500, 0.4453, 0.8906)
Tl (0.7500, 0.5547, 0.1094)
Au (0.7500, 0.1505, 0.7860)
Au (0.0000, 0.0000, 0.0000)
Au (0.5000, 0.0000, 0.0000)
Au (0.2500, 0.8495, 0.2140)
Au (0.7500, 0.6355, 0.7860)
Au (0.2500, 0.3645, 0.2140)

* energy above the most stable polymorph in this dataset: 3.1 meV per atom
* ρ: 10.1 g/cm3
* DFT formation energy: -0.118 eV/atom

| no. | total energy (eV per formula unit) |
| --- | --- |
| 1 | -42.3 |
| 2 | -11.0 |
| 3 | -13.0 |
| 4 | -19.9 |
| 5 | -35.4 |
| 6 | -13.6 |